(i)
Density functional theory data (PBE) for Na3BCl6 after structural relaxation.

Geometry as CIF:
```
data_Na3BCl6
_chemical_formula_sum 'Na6 B2 Cl12'
_symmetry_space_group_name_H-M 'P 1 21/c 1'
_symmetry_Int_Tables_number 14
_symmetry_space_group_name_Hall '-P 2ybc'
_cell_length_a 7.9754
_cell_length_b 7.7726
_cell_length_c 12.2731
_cell_angle_alpha 90.00
_cell_angle_beta 127.75
_cell_angle_gamma 90.00
loop_
_atom_site_label
_atom_site_fract_x
_atom_site_fract_y
_atom_site_fract_z
_atom_site_occupancy
Na1 0.0000 0.0000 0.0000 1
Na2 0.4227 0.0637 0.8346 1
B1 0.5000 0.0000 0.5000 1
Cl1 0.2224 0.6205 0.4065 1
Cl2 0.2875 0.0926 0.4670 1
Cl3 0.3723 0.1134 0.2387 1
```

total magnetic moment: 0.017 μB/atom
crystal system: monoclinic
calculated volume: 30.1 Å³/atom

=====

(ii)
Density functional theory data (PBE) for Na3BCl6 after structural relaxation.

Geometry as CIF:
```
data_Na3BCl6
_chemical_formula_sum 'Na12 B4 Cl24'
_symmetry_space_group_name_H-M 'C m c 21'
_symmetry_Int_Tables_number 36
_symmetry_space_group_name_Hall 'C 2c -2'
_cell_length_a 11.6390
_cell_length_b 14.4925
_cell_length_c 7.4741
_cell_angle_alpha 90.00
_cell_angle_beta 90.00
_cell_angle_gamma 90.00
loop_
_atom_site_label
_atom_site_fract_x
_atom_site_fract_y
_atom_site_fract_z
_atom_site_occupancy
Na1 0.0000 0.0571 0.0000 1
Na2 0.2330 0.4067 0.9675 1
B1 0.0000 0.2984 0.1741 1
Cl1 0.0000 0.2915 0.4180 1
Cl2 0.0000 0.4225 0.0960 1
Cl3 0.1307 0.2400 0.0785 1
Cl4 0.1611 0.0149 0.7395 1
```

total magnetic moment: 0.000 μB/atom
crystal system: orthorhombic
calculated volume: 31.5 Å³/atom

=====

Q: What are the energies relative to the best structure? A: (i) 273; (ii) 0, in meV/atom.

=====

(i)
Density functional theory data (PBE) for NaBCl2 after structural relaxation.

Geometry as CIF:
```
data_NaBCl2
_chemical_formula_sum 'Na3 B3 Cl6'
_symmetry_space_group_name_H-M 'R -3 m'
_symmetry_Int_Tables_number 166
_symmetry_space_group_name_Hall '-R 3 2"'
_cell_length_a 4.2270
_cell_length_b 4.2270
_cell_length_c 22.7513
_cell_angle_alpha 90.00
_cell_angle_beta 90.00
_cell_angle_gamma 120.00
loop_
_atom_site_label
_atom_site_fract_x
_atom_site_fract_y
_atom_site_fract_z
_atom_site_occupancy
Na1 0.0000 0.0000 0.0000 1
B1 0.0000 0.0000 0.5000 1
Cl1 0.0000 0.0000 0.3992 1
```

total magnetic moment: 0.000 μB/atom
crystal system: trigonal
calculated volume: 29.3 Å³/atom

=====

(ii)
Density functional theory data (PBE) for NaBCl2 after structural relaxation.

Geometry as CIF:
```
data_NaBCl2
_chemical_formula_sum 'Na4 B4 Cl8'
_symmetry_space_group_name_H-M 'I -4 2 d'
_symmetry_Int_Tables_number 122
_symmetry_space_group_name_Hall 'I -4 2bw'
_cell_length_a 5.8137
_cell_length_b 5.8137
_cell_length_c 12.9433
_cell_angle_alpha 90.00
_cell_angle_beta 90.00
_cell_angle_gamma 90.00
loop_
_atom_site_label
_atom_site_fract_x
_atom_site_fract_y
_atom_site_fract_z
_atom_site_occupancy
Na1 0.0000 0.0000 0.0000 1
B1 0.0000 0.0000 0.5000 1
Cl1 0.2166 0.2500 0.6250 1
```

total magnetic moment: 0.000 μB/atom
crystal system: tetragonal
calculated volume: 27.3 Å³/atom

=====

Q: What are the energies relative to the best structure? A: (i) 107; (ii) 0, in meV/atom.